# 1
Entry from the Alexandria database: a relaxed structure of K2LaCl (PBE).

The uncorrected formation energy comes out at -19.0 kJ/mol of atoms. The calculation puts the calculated total energy at -9.76 eV/f.u. As for the space group: No. 47. The density of states at the Fermi level comes out at 1.015 states/eV per atom.

abc: 3.922 5.800 7.195
angles: 90.00 90.00 90.00
Element x y z (fractional)
Cl: 0.000 0.500 0.500
La: 0.500 0.000 0.500
K: 0.000 0.000 0.000
K: 0.500 0.500 0.000



# 2
Entry from the Alexandria database: a relaxed structure of ReAs2Pt (PBE).

The calculation puts the calculated total energy at -25.87 eV/f.u. As for the space group: No. 47. The density of states at the Fermi level comes out at 0.707 states/eV per atom.

abc: 3.002 5.103 4.283
angles: 90.00 90.00 90.00
Element x y z (fractional)
As: 0.000 0.000 0.000
As: 0.500 0.500 0.000
Re: 0.000 0.500 0.500
Pt: 0.500 0.000 0.500



# 3
Entry from the Alexandria database: a relaxed structure of YTlHgPb (PBE).

The calculation puts the calculated total energy at -13.55 eV/f.u. As for the space group: No. 216. The density of states at the Fermi level comes out at 0.446 states/eV per atom.

abc: 5.412 5.412 5.412
angles: 60.00 60.00 60.00
Element x y z (fractional)
Y: 0.750 0.750 0.750
Hg: 0.500 0.500 0.500
Tl: 0.000 0.000 0.000
Pb: 0.250 0.250 0.250



# 4
Entry from the Alexandria database: a relaxed structure of CrAgTe2 (PBE).

The uncorrected formation energy comes out at 26.4 kJ/mol of atoms. The calculation puts the calculated total energy at -17.67 eV/f.u. As for the space group: No. 47. The density of states at the Fermi level comes out at 0.720 states/eV per atom.

abc: 4.108 6.533 3.866
angles: 90.00 90.00 90.00
Element x y z (fractional)
Te: 0.500 0.500 0.000
Te: 0.000 0.000 0.000
Cr: 0.000 0.500 0.500
Ag: 0.500 0.000 0.500